! Li2Mn5O10 | the Alexandria database | PBE with a Hubbard U | relaxed; values from VASP
! Space group: P-1
! Energy: -117.33 eV per cell
&SYSTEM
  ibrav = 0, nat = 17, ntyp = 3
/
ATOMIC_SPECIES
Li 6.94 Li.upf
Mn 54.94 Mn.upf
O 16.00 O.upf
ATOMIC_POSITIONS crystal
Li 0.044 0.263 0.409
Li 0.956 0.737 0.591
Mn 0.194 0.394 0.891
Mn 0.399 0.792 0.315
Mn 0.500 0.000 0.000
Mn 0.601 0.208 0.685
Mn 0.806 0.606 0.109
O 0.043 0.606 0.332
O 0.163 0.755 0.059
O 0.274 0.060 0.770
O 0.386 0.153 0.444
O 0.450 0.428 0.141
O 0.550 0.572 0.859
O 0.614 0.847 0.556
O 0.726 0.940 0.230
O 0.837 0.245 0.941
O 0.957 0.394 0.668
CELL_PARAMETERS angstrom
5.037 0.000 0.000
-1.120 5.279 0.000
-1.391 -2.938 6.928